## Li2CoTc (meta-GGA SCAN)

Data for Li2CoTc at its PBEsol-relaxed geometry.

Structure (CIF):
```
data_Li2CoTc
_chemical_formula_sum 'Li2 Co1 Tc1'
_cell_length_a 2.456
_cell_length_b 4.519
_cell_length_c 4.441
_cell_angle_alpha 90.00
_cell_angle_beta 94.92
_cell_angle_gamma 90.00
_symmetry_space_group_name_H-M 'P 1 2/m 1'
_symmetry_Int_Tables_number 10
loop_
_symmetry_equiv_pos_as_xyz
'x,y,z'
'-x,-y,-z'
'-x,y,-z'
'x,-y,z'
loop_
_atom_site_label
_atom_site_type_symbol
_atom_site_fract_x
_atom_site_fract_y
_atom_site_fract_z
Li1 Li 0.191 0.000 0.253
Co1 Co 0.000 0.500 0.500
Tc1 Tc 0.500 0.500 0.000
```

Calculated values
* excess energy over the best structure of this formula in the dataset: 0 meV/atom
* ΔH_f (0 K): 0.9 eV/f.u.
* DOS(E_F): 2.51 states/eV/f.u.



## LiCo2Tc (meta-GGA SCAN)

Data for LiCo2Tc at its PBEsol-relaxed geometry.

Structure (CIF):
```
data_LiCo2Tc
_chemical_formula_sum 'Li2 Co4 Tc2'
_cell_length_a 8.673
_cell_length_b 2.500
_cell_length_c 4.340
_cell_angle_alpha 90.00
_cell_angle_beta 103.74
_cell_angle_gamma 90.00
_symmetry_space_group_name_H-M 'C 1 m 1'
_symmetry_Int_Tables_number 8
loop_
_symmetry_equiv_pos_as_xyz
'x,y,z'
'x,-y,z'
'x+1/2,y+1/2,z'
'x+1/2,-y+1/2,z'
loop_
_atom_site_label
_atom_site_type_symbol
_atom_site_fract_x
_atom_site_fract_y
_atom_site_fract_z
Li1 Li 0.000 0.000 0.000
Co1 Co 0.257 0.500 0.161
Co2 Co 0.469 0.000 0.483
Tc1 Tc 0.218 0.000 0.650
```

Calculated values
* excess energy over the best structure of this formula in the dataset: 46 meV/atom
* ΔH_f (0 K): 1.0 eV/f.u.
* DOS(E_F): 3.72 states/eV/f.u.



no.,calculated volume (A^3/atom),total magnetic moment (μB per cell)
1,12.28,2.152
2,11.43,5.278